Ce2ScNi: optimized geometry, PBE-GGA.

energy above the lowest structure with this stoichiometry = 0 meV/atom
mass density = 6761 kg/m³
formation enthalpy at 0 K = -53 meV/atom
DOS(E_F) = 9.10 states/eV/cell

Cell lengths 3.5588, 3.5588, 7.4447 Å; angles 90.00, 90.00, 90.00 degrees
Element x y z (fractional)
Ni 0.5000 0.5000 0.0000
Ce 0.0000 0.0000 0.1971
Ce 0.0000 0.0000 0.8029
Sc 0.5000 0.5000 0.5000